Entry from OQMD via LeMat-Bulk: a geometry-optimized SrTbIn2Pd4 structure (PBE).

total magnetization: 0.0 μB/f.u.

Cell: 4.6352 4.6352 9.3283 Å, 90.00 90.00 120.00°
Space group P-6m2 (No. 187)
One atom of each set of equivalent atoms:
Sr (0.0000, 0.0000, 0.0000) x1
Tb (0.3333, 0.6667, 0.5000) x1
In (0.6667, 0.3333, 0.2632) x2
Pd (0.0000, 0.0000, 0.3441) x2
Pd (0.3333, 0.6667, 0.1917) x2


Entry from OQMD via LeMat-Bulk: a geometry-optimized Sr2TlInPd4 structure (PBE).

Cell: 4.7012 4.7012 9.6333 Å, 90.00 90.00 120.00°
Space group P-3m1 (No. 164)
One atom of each set of equivalent atoms:
Sr (0.3333, 0.6667, 0.2497) x2
Tl (0.0000, 0.0000, 0.0000) x1
In (0.0000, 0.0000, 0.5000) x1
Pd (0.3333, 0.6667, 0.5679) x2
Pd (0.3333, 0.6667, 0.9270) x2


Entry from OQMD via LeMat-Bulk: a geometry-optimized SrYIn4Pd2 structure (PBE).

total magnetization: 0.0 μB/f.u.

Cell: 7.849 4.522 10.607 Å, 90.00 90.00 90.00°
Space group Amm2 (No. 38)
One atom of each set of equivalent atoms:
Sr (0.000, 0.000, 0.000) x2
Y (0.500, 0.000, 0.862) x2
In (0.204, 0.000, 0.290) x4
In (0.307, 0.000, 0.575) x4
Pd (0.000, 0.000, 0.717) x2
Pd (0.500, 0.000, 0.145) x2


no.,final energy (eV/atom)
1,-4.792
2,-4.213
3,-4.290